VASP calculation (SCAN) on a crystal of Al2IrPt relaxed with PBEsol.

abc: 4.445 4.445 4.445
angles: 126.20 126.20 79.55
Positions (direct):
Al 0.250 0.750 0.500
Al 0.750 0.250 0.500
Ir 0.000 0.000 0.000
Pt 0.500 0.500 0.000

## Properties
ΔH_f (0 K): -1188 meV per atom
V: 13.81 A^3/atom



VASP calculation (SCAN) on a crystal of AlIrPt4 relaxed with PBEsol.

abc: 5.132 5.132 5.132
angles: 60.00 60.00 60.00
Positions (direct):
Al 0.000 0.000 0.000
Ir 0.250 0.250 0.250
Pt 0.126 0.625 0.625
Pt 0.625 0.126 0.625
Pt 0.625 0.625 0.126
Pt 0.625 0.625 0.625

## Properties
ΔH_f (0 K): 228 meV per atom
V: 15.93 A^3/atom



VASP calculation (SCAN) on a crystal of AlIrPt2 relaxed with PBEsol.

abc: 4.676 4.676 2.783
angles: 90.00 90.00 109.36
Positions (direct):
Al 0.000 0.000 0.000
Ir 0.500 0.500 0.000
Pt 0.000 0.500 0.500
Pt 0.500 0.000 0.500

## Properties
ΔH_f (0 K): -614 meV per atom
V: 14.35 A^3/atom



VASP calculation (SCAN) on a crystal of AlIrPt2 relaxed with PBEsol.

abc: 8.757 8.757 8.757
angles: 18.26 18.26 18.26
Positions (direct):
Al 0.000 0.000 0.000
Ir 0.258 0.258 0.258
Pt 0.502 0.502 0.502
Pt 0.744 0.744 0.744

## Properties
ΔH_f (0 K): -483 meV per atom
V: 14.39 A^3/atom



VASP calculation (SCAN) on a crystal of AlIrPt2 relaxed with PBEsol.

abc: 4.772 4.772 4.691
angles: 103.63 103.63 33.81
Positions (direct):
Al 0.000 0.000 0.000
Ir 0.732 0.732 0.255
Pt 0.261 0.261 0.770
Pt 0.493 0.493 0.496

## Properties
ΔH_f (0 K): -557 meV per atom
V: 14.40 A^3/atom



VASP calculation (SCAN) on a crystal of AlIrPt3 relaxed with PBEsol.

abc: 4.406 4.406 4.406
angles: 90.00 90.00 90.00
Positions (direct):
Al 0.000 0.000 0.000
Ir 0.500 0.500 0.500
Pt 0.000 0.000 0.500
Pt 0.000 0.500 0.000
Pt 0.500 0.000 0.000

## Properties
ΔH_f (0 K): 944 meV per atom
V: 17.10 A^3/atom
Energy above the most stable polymorph in this dataset: 0.0 kJ/mol of atoms



VASP calculation (SCAN) on a crystal of Al2IrPt relaxed with PBEsol.

abc: 4.409 4.409 2.886
angles: 90.00 90.00 99.48
Positions (direct):
Al 0.000 0.500 0.000
Al 0.500 0.000 0.000
Ir 0.000 0.000 0.500
Pt 0.500 0.500 0.500

## Properties
ΔH_f (0 K): -1187 meV per atom
V: 13.83 A^3/atom



VASP calculation (SCAN) on a crystal of AlIrPt2 relaxed with PBEsol.

abc: 3.808 3.808 3.933
angles: 90.00 90.00 90.00
Positions (direct):
Al 0.000 0.000 0.000
Ir 0.500 0.500 0.000
Pt 0.000 0.500 0.500
Pt 0.500 0.000 0.500

## Properties
ΔH_f (0 K): -695 meV per atom
V: 14.26 A^3/atom



VASP calculation (SCAN) on a crystal of AlIrPt2 relaxed with PBEsol.

abc: 2.759 3.725 5.609
angles: 90.00 90.00 90.00
Positions (direct):
Al 0.000 0.000 0.000
Ir 0.500 0.500 0.241
Pt 0.000 0.000 0.491
Pt 0.500 0.500 0.759

## Properties
ΔH_f (0 K): -496 meV per atom
V: 14.41 A^3/atom



VASP calculation (SCAN) on a crystal of AlIrPt2 relaxed with PBEsol.

abc: 9.365 9.365 9.365
angles: 156.93 156.93 32.85
Positions (direct):
Al 0.000 0.000 0.000
Al 0.750 0.250 0.500
Ir 0.250 0.750 0.500
Ir 0.500 0.500 0.000
Pt 0.128 0.625 0.003
Pt 0.375 0.378 0.503
Pt 0.622 0.125 0.997
Pt 0.875 0.872 0.497

## Properties
ΔH_f (0 K): -222 meV per atom
V: 15.75 A^3/atom



VASP calculation (SCAN) on a crystal of AlIrPt3 relaxed with PBEsol.

abc: 4.772 4.772 4.772
angles: 90.00 90.00 90.00
Positions (direct):
Al 0.000 0.000 0.000
Ir 0.500 0.500 0.500
Pt 0.000 0.500 0.500
Pt 0.500 0.000 0.500
Pt 0.500 0.500 0.000

## Properties
ΔH_f (0 K): 1282 meV per atom
V: 21.73 A^3/atom
Energy above the most stable polymorph in this dataset: 32.7 kJ/mol of atoms



VASP calculation (SCAN) on a crystal of Rb3AlIr relaxed with PBEsol.

abc: 6.175 6.175 6.175
angles: 90.00 90.00 90.00
Positions (direct):
Rb 0.000 0.000 0.500
Rb 0.000 0.500 0.000
Rb 0.500 0.000 0.000
Al 0.500 0.500 0.500
Ir 0.000 0.000 0.000

## Properties
ΔH_f (0 K): 1033 meV per atom
V: 47.10 A^3/atom



VASP calculation (SCAN) on a crystal of RbAl2Ir relaxed with PBEsol.

abc: 8.157 8.157 8.157
angles: 135.07 135.07 65.42
Positions (direct):
Rb 0.375 0.625 0.750
Rb 0.625 0.375 0.250
Al 0.000 0.000 0.000
Al 0.000 0.000 0.500
Al 0.000 0.500 0.000
Al 0.500 0.000 0.500
Ir 0.125 0.875 0.250
Ir 0.875 0.125 0.750

## Properties
ΔH_f (0 K): -142 meV per atom
V: 33.33 A^3/atom



VASP calculation (SCAN) on a crystal of Al2ReIr relaxed with PBEsol.

abc: 5.521 5.521 5.521
angles: 103.22 103.22 122.85
Positions (direct):
Al 0.106 0.625 0.981
Al 0.375 0.356 0.481
Al 0.644 0.125 0.019
Al 0.875 0.894 0.519
Re 0.250 0.750 0.500
Re 0.500 0.500 0.000
Ir 0.000 0.000 0.000
Ir 0.750 0.250 0.500

## Properties
ΔH_f (0 K): 265 meV per atom
V: 15.52 A^3/atom



VASP calculation (SCAN) on a crystal of Al3ReIr relaxed with PBEsol.

abc: 4.561 4.561 4.561
angles: 90.00 90.00 90.00
Positions (direct):
Al 0.000 0.000 0.500
Al 0.000 0.500 0.000
Al 0.500 0.000 0.000
Re 0.500 0.500 0.500
Ir 0.000 0.000 0.000

## Properties
ΔH_f (0 K): 656 meV per atom
V: 18.97 A^3/atom



VASP calculation (SCAN) on a crystal of AlReIr2 relaxed with PBEsol.

abc: 4.569 4.569 2.748
angles: 90.00 90.00 90.00
Positions (direct):
Al 0.000 0.000 0.000
Re 0.500 0.500 0.000
Ir 0.000 0.500 0.500
Ir 0.500 0.000 0.500

## Properties
ΔH_f (0 K): -280 meV per atom
V: 14.34 A^3/atom



VASP calculation (SCAN) on a crystal of AlRe2SbIr relaxed with PBEsol.

abc: 4.758 4.758 4.878
angles: 90.00 90.00 90.00
Positions (direct):
Al 0.000 0.000 0.000
Re 0.000 0.500 0.500
Re 0.500 0.000 0.500
Sb 0.500 0.500 0.000
Ir 0.500 0.500 0.500

## Properties
Raw formation energy: 1872.2 meV per atom
V: 22.08 A^3/atom



VASP calculation (SCAN) on a crystal of TaAlRe2Ir relaxed with PBEsol.

abc: 4.686 4.686 4.719
angles: 90.00 90.00 90.00
Positions (direct):
Ta 0.000 0.000 0.000
Al 0.500 0.500 0.000
Re 0.000 0.500 0.500
Re 0.500 0.000 0.500
Ir 0.000 0.000 0.500

## Properties
ΔH_f (0 K): 1697 meV per atom
V: 20.73 A^3/atom



VASP calculation (SCAN) on a crystal of Al2TlReIr relaxed with PBEsol.

abc: 4.630 4.630 5.120
angles: 90.00 90.00 90.00
Positions (direct):
Al 0.000 0.500 0.000
Al 0.500 0.000 0.000
Tl 0.000 0.000 0.500
Re 0.500 0.500 0.500
Ir 0.000 0.000 0.000

## Properties
ΔH_f (0 K): 1007 meV per atom
V: 21.95 A^3/atom



VASP calculation (SCAN) on a crystal of AlIr2Rh relaxed with PBEsol.

abc: 2.734 4.559 4.537
angles: 90.00 90.80 90.00
Positions (direct):
Al 0.000 0.000 0.000
Ir 0.252 0.500 0.749
Ir 0.748 0.500 0.251
Rh 0.500 0.000 0.500

## Properties
ΔH_f (0 K): -293 meV per atom
V: 14.14 A^3/atom



VASP calculation (SCAN) on a crystal of AlIr2Rh relaxed with PBEsol.

abc: 2.742 2.742 7.303
angles: 90.00 90.00 90.00
Positions (direct):
Al 0.000 0.000 0.000
Ir 0.500 0.500 0.244
Ir 0.500 0.500 0.756
Rh 0.000 0.000 0.500

## Properties
ΔH_f (0 K): -463 meV per atom
V: 13.72 A^3/atom



VASP calculation (SCAN) on a crystal of AlIr2Rh relaxed with PBEsol.

abc: 5.228 5.228 5.228
angles: 148.93 130.63 59.49
Positions (direct):
Al 0.000 0.000 0.000
Ir 0.224 0.724 0.500
Ir 0.776 0.276 0.500
Rh 0.500 0.500 0.000

## Properties
ΔH_f (0 K): -423 meV per atom
V: 13.88 A^3/atom



VASP calculation (SCAN) on a crystal of AlIrRh2 relaxed with PBEsol.

abc: 2.798 4.426 4.435
angles: 90.00 90.00 90.00
Positions (direct):
Al 0.000 0.000 0.000
Ir 0.500 0.500 0.000
Rh 0.000 0.500 0.500
Rh 0.500 0.000 0.500

## Properties
ΔH_f (0 K): -409 meV per atom
V: 13.73 A^3/atom



VASP calculation (SCAN) on a crystal of AlIrRh2 relaxed with PBEsol.

abc: 4.566 4.566 2.728
angles: 90.00 90.00 106.99
Positions (direct):
Al 0.000 0.000 0.000
Ir 0.500 0.500 0.000
Rh 0.000 0.500 0.500
Rh 0.500 0.000 0.500

## Properties
ΔH_f (0 K): -571 meV per atom
V: 13.60 A^3/atom



VASP calculation (SCAN) on a crystal of AlIrRh2 relaxed with PBEsol.

abc: 4.615 4.615 4.615
angles: 131.27 131.27 71.39
Positions (direct):
Al 0.000 0.000 0.000
Ir 0.500 0.500 0.000
Rh 0.250 0.750 0.500
Rh 0.750 0.250 0.500

## Properties
ΔH_f (0 K): -589 meV per atom
V: 13.59 A^3/atom



VASP calculation (SCAN) on a crystal of SrAlIr2Rh relaxed with PBEsol.

abc: 4.723 4.723 5.256
angles: 90.00 90.00 90.00
Positions (direct):
Sr 0.000 0.000 0.000
Al 0.500 0.500 0.000
Ir 0.000 0.500 0.500
Ir 0.500 0.000 0.500
Rh 0.000 0.000 0.500

## Properties
ΔH_f (0 K): 1107 meV per atom
V: 23.44 A^3/atom



VASP calculation (SCAN) on a crystal of AlIrRu2 relaxed with PBEsol.

abc: 2.771 2.771 7.008
angles: 90.00 90.00 90.00
Positions (direct):
Al 0.000 0.000 0.000
Ir 0.000 0.000 0.500
Ru 0.500 0.500 0.240
Ru 0.500 0.500 0.760

## Properties
ΔH_f (0 K): -319 meV per atom
V: 13.46 A^3/atom



VASP calculation (SCAN) on a crystal of AlIr2Ru relaxed with PBEsol.

abc: 2.721 4.017 5.171
angles: 90.00 102.20 90.00
Positions (direct):
Al 0.000 0.000 0.000
Ir 0.389 0.500 0.246
Ir 0.611 0.500 0.754
Ru 0.000 0.000 0.500

## Properties
ΔH_f (0 K): -358 meV per atom
V: 13.81 A^3/atom



VASP calculation (SCAN) on a crystal of AlIrRu2 relaxed with PBEsol.

abc: 4.682 4.682 4.682
angles: 132.77 132.77 69.02
Positions (direct):
Al 0.000 0.000 0.000
Ir 0.500 0.500 0.000
Ru 0.250 0.750 0.500
Ru 0.750 0.250 0.500

## Properties
ΔH_f (0 K): -356 meV per atom
V: 13.57 A^3/atom